A relaxed AcCuAg2 crystal, computed with GGA-PBE.

Cell lengths 5.1480, 5.1480, 5.1480 Å; angles 60.00, 60.00, 60.00 degrees
With the nearest neighbours (Å) after each atom.
Sites, in units of the cell vectors:
Ac 0.0000 0.0000 0.0000  8 Ag 3.15
Cu 0.5000 0.5000 0.5000  8 Ag 3.15
Ag 0.2500 0.2500 0.2500  4 Cu 3.15, 4 Ac 3.15
Ag 0.7500 0.7500 0.7500  4 Cu 3.15, 4 Ac 3.15

Values from the calculation:
The calculation puts the formation enthalpy at 0 K at 1.7 kJ per mole of atoms. The total magnetization is 0.00 μB per formula unit. The density of states at the Fermi level comes out at 1.44 states/eV/f.u. The polymorph energy (0 for the lowest one) is 208 meV/atom. The value obtained for the total DFT energy (no corrections) is -13.8 eV/f.u.